Entry 1:
A plane-wave DFT calculation with PBE-GGA was carried out for a geometry-optimized Ce2SmNpP4 structure.

## Properties
- energy (eV per cell) = -60.05
- space group = P2/m, No. 10
- energy of formation from the pure elements (eV per atom) = -1.110

Cell lengths 4.038, 9.904, 6.981 Å; angles 134.91, 90.00, 90.00 degrees
Last column: magnetic moment on the atom in μB.
Sites, in units of the cell vectors:
1 Ce 0.500 0.000 0.500  0.67
2 Ce 0.000 0.500 0.500  0.68
3 Sm 0.500 0.500 0.000  0.07
4 Np 0.000 0.000 0.000  3.75
5 P 0.500 0.242 0.403  -0.08
6 P 0.500 0.758 0.597  -0.08
7 P 0.000 0.753 0.083  -0.05
8 P 0.000 0.247 0.917  -0.05

***

Entry 2:
A plane-wave DFT calculation with PBE-GGA was carried out for a geometry-optimized Sr2CeNpP4 structure.

## Properties
- energy (eV per cell) = -52.78
- space group = P2/m, No. 10
- energy of formation from the pure elements (eV per atom) = -1.112

Cell lengths 4.176, 7.238, 7.328 Å; angles 109.23, 90.00, 90.00 degrees
Last column: magnetic moment on the atom in μB.
Sites, in units of the cell vectors:
1 Sr 0.500 0.000 0.500  -0.01
2 Sr 0.000 0.500 0.500  0.00
3 Ce 0.000 0.000 0.000  0.21
4 Np 0.500 0.500 0.000  3.25
5 P 0.500 0.245 0.215  -0.05
6 P 0.500 0.755 0.785  -0.05
7 P 0.000 0.269 0.788  -0.09
8 P 0.000 0.731 0.212  -0.09

***

Entry 3:
A plane-wave DFT calculation with PBE-GGA was carried out for a geometry-optimized Sr3Ce2NpP6 structure.

## Properties
- energy (eV per cell) = -76.35
- space group = C2/m, No. 12
- energy of formation from the pure elements (eV per atom) = -1.170

Cell lengths 7.264, 7.264, 7.331 Å; angles 99.52, 99.52, 119.99 degrees
Last column: magnetic moment on the atom in μB.
Sites, in units of the cell vectors:
1 Sr 0.168 0.832 0.500  -0.01
2 Sr 0.832 0.168 0.500  -0.01
3 Sr 0.500 0.500 0.500  -0.01
4 Ce 0.334 0.666 0.000  0.24
5 Ce 0.666 0.334 0.000  0.24
6 Np 0.000 0.000 0.000  3.20
7 P 0.928 0.603 0.785  -0.06
8 P 0.747 0.747 0.215  -0.06
9 P 0.072 0.397 0.215  -0.06
10 P 0.603 0.928 0.785  -0.06
11 P 0.253 0.253 0.785  -0.06
12 P 0.397 0.072 0.215  -0.06